(1)
VASP calculation (GGA-PBE) on crystalline YZrMn at its relaxed geometry.

Summary:
* spin magnetization: 0.1701 μB/atom
* energy above the most stable polymorph in this dataset: 0.289 eV/atom
* formation energy: 1.3 eV/f.u.

```
YZrMn
1.0
4.592 0.000 0.000
2.296 3.977 0.000
2.296 1.326 3.749
Mn Zr Y
1 1 1
direct
0.750 0.750 0.750
0.500 0.500 0.500
0.000 0.000 0.000
```



(2)
VASP calculation (GGA-PBE) on crystalline Pm2ErIn3 at its relaxed geometry.

Summary:
* spin magnetization: 0.0000 μB/atom
* energy above the most stable polymorph in this dataset: 0.000 eV/atom
* formation energy: -2.9 eV/f.u.

```
Pm2ErIn3
1.0
-3.328 -1.025 1.493
-0.795 -1.980 -3.131
4.962 -9.344 4.651
In Er Pm
3 1 2
direct
0.000 0.000 0.000
0.000 0.000 0.656
0.000 0.000 0.344
0.500 0.500 0.500
0.500 0.500 0.172
0.500 0.500 0.828
```